Entry 1:
# NaVCrCl6

An optimized crystal structure of NaVCrCl6 (GGA-PBE, Alexandria via LeMat-Bulk).

Values from the calculation:
- SG: No. 163
- Formation energy from raw total energies: -125.3 kJ per mole of atoms

Unit cell a=6.2864 b=6.2864 c=12.4239 alpha=90.00 beta=90.00 gamma=120.00
Site moments in Bohr magnetons follow the coordinates.
Sites, in units of the cell vectors:
Cl (0.6360, 0.9958, 0.8589)  -0.02
Cl (0.9958, 0.3598, 0.1411)  -0.02
Cl (0.9958, 0.6360, 0.3589)  -0.02
Cl (0.3598, 0.9958, 0.6411)  -0.02
Cl (0.6402, 0.0042, 0.3589)  -0.02
Cl (0.0042, 0.3640, 0.6411)  -0.02
Cl (0.6402, 0.6360, 0.1411)  -0.02
Cl (0.3598, 0.3640, 0.8589)  -0.02
Cl (0.0042, 0.6402, 0.8589)  -0.02
Cl (0.3640, 0.3598, 0.3589)  -0.02
Cl (0.3640, 0.0042, 0.1411)  -0.02
Cl (0.6360, 0.6402, 0.6411)  -0.02
Na (0.0000, 0.0000, 0.0000)  0.00
Na (0.0000, 0.0000, 0.5000)  0.00
V (0.6667, 0.3333, 0.7500)  2.36
V (0.3333, 0.6667, 0.2500)  2.36
Cr (0.6667, 0.3333, 0.2500)  3.16
Cr (0.3333, 0.6667, 0.7500)  3.16

Entry 2:
# NaYCrCl6

An optimized crystal structure of NaYCrCl6 (GGA-PBE, Alexandria via LeMat-Bulk).

Values from the calculation:
- SG: No. 163
- Formation energy from raw total energies: -164.6 kJ per mole of atoms

Unit cell a=6.6304 b=6.6304 c=12.6535 alpha=90.00 beta=90.00 gamma=120.00
Site moments in Bohr magnetons follow the coordinates.
Sites, in units of the cell vectors:
Y (0.3333, 0.6667, 0.2500)  0.01
Y (0.6667, 0.3333, 0.7500)  0.01
Cl (0.6519, 0.0157, 0.3654)  0.00
Cl (0.6362, 0.6519, 0.6346)  0.00
Cl (0.6519, 0.6362, 0.1346)  0.00
Cl (0.9843, 0.6362, 0.3654)  0.00
Cl (0.3481, 0.9843, 0.6346)  0.00
Cl (0.9843, 0.3481, 0.1346)  0.00
Cl (0.3638, 0.3481, 0.3654)  0.00
Cl (0.3638, 0.0157, 0.1346)  0.00
Cl (0.0157, 0.3638, 0.6346)  0.00
Cl (0.3481, 0.3638, 0.8654)  0.00
Cl (0.6362, 0.9843, 0.8654)  0.00
Cl (0.0157, 0.6519, 0.8654)  0.00
Cr (0.6667, 0.3333, 0.2500)  3.60
Cr (0.3333, 0.6667, 0.7500)  3.60
Na (0.0000, 0.0000, 0.5000)  0.00
Na (0.0000, 0.0000, 0.0000)  0.00

Entry 3:
# NaZnCrCl6

An optimized crystal structure of NaZnCrCl6 (GGA-PBE, Alexandria via LeMat-Bulk).

Values from the calculation:
- SG: No. 163
- Formation energy from raw total energies: -120.8 kJ per mole of atoms

Unit cell a=6.2809 b=6.2809 c=12.4642 alpha=90.00 beta=90.00 gamma=120.00
Site moments in Bohr magnetons follow the coordinates.
Sites, in units of the cell vectors:
Cr (0.3333, 0.6667, 0.2500)  2.85
Cr (0.6667, 0.3333, 0.7500)  2.85
Cl (0.6425, 0.6283, 0.6408)  -0.02
Cl (0.9858, 0.6283, 0.8592)  -0.02
Cl (0.0142, 0.3717, 0.1408)  -0.02
Cl (0.3575, 0.9857, 0.1408)  -0.02
Cl (0.3717, 0.3575, 0.8592)  -0.02
Cl (0.9858, 0.3575, 0.6408)  -0.02
Cl (0.3717, 0.0143, 0.6408)  -0.02
Cl (0.3575, 0.3717, 0.3592)  -0.02
Cl (0.6425, 0.0143, 0.8592)  -0.02
Cl (0.0142, 0.6425, 0.3592)  -0.02
Cl (0.6283, 0.9857, 0.3592)  -0.02
Cl (0.6283, 0.6425, 0.1408)  -0.02
Zn (0.3333, 0.6667, 0.7500)  0.01
Zn (0.6667, 0.3333, 0.2500)  0.01
Na (0.0000, 0.0000, 0.0000)  0.00
Na (0.0000, 0.0000, 0.5000)  0.00

Entry 4:
# Na2ZnCrCl6

An optimized crystal structure of Na2ZnCrCl6 (GGA-PBE, Alexandria via LeMat-Bulk).

Values from the calculation:
- SG: No. 146
- Formation energy from raw total energies: -123.1 kJ per mole of atoms

Unit cell a=6.7087 b=6.7083 c=6.9551 alpha=61.12 beta=61.14 gamma=59.96
Site moments in Bohr magnetons follow the coordinates.
Sites, in units of the cell vectors:
Cl (0.1772, 0.9694, 0.2695)  0.00
Cl (0.4725, 0.6770, 0.7701)  0.00
Cl (0.0799, 0.4730, 0.7696)  0.00
Cl (0.5842, 0.1768, 0.2701)  0.00
Cl (0.6769, 0.0804, 0.7702)  0.00
Cl (0.9696, 0.5837, 0.2695)  0.00
Zn (0.3191, 0.3189, 0.0431)  0.05
Cr (0.8221, 0.8222, 0.5336)  3.57
Na (0.0318, 0.0319, 0.9045)  0.00
Na (0.5284, 0.5283, 0.4151)  0.00

Mass density for every record listed, in sequence, given in g cm⁻³: 2.65 2.60 2.75 2.78.